Density functional theory data (PBE+U) for a geometry-optimized ZnFeO2 structure.

Cell lengths 3.8070, 3.8070, 3.8070 Å; angles 60.00, 60.00, 60.00 degrees
Last column: nearest neighbours and their distance in Å.
Sites, in units of the cell vectors:
Zn (0.0000, 0.0000, 0.0000)  8 O 2.33
Fe (0.5000, 0.5000, 0.5000)  8 O 2.33
O (0.2500, 0.2500, 0.2500)  4 Fe 2.33, 4 Zn 2.33
O (0.7500, 0.7500, 0.7500)  4 Fe 2.33, 4 Zn 2.33

- E above lowest polymorph: 3.19 eV/f.u.
- SG: Fm-3m, No. 225
- Crystal system: cubic